1.
GGA-PBE DyWC2, relaxed; formation energy from the elements = -287 meV per atom; DFT total energy = -148.602 eV for the cell shown; polymorph energy (0 for the lowest one) = 0.0 meV per atom; space-group type = Pnma
1.0
5.7278 0.0000 0.0000
0.0000 3.3854 0.0000
0.0000 0.0000 10.8162
Dy W C
4 4 8
direct
0.0855 0.2500 0.1372
0.4145 0.7500 0.6372
0.5855 0.2500 0.3628
0.9145 0.7500 0.8628
0.0964 0.7500 0.3897
0.4036 0.2500 0.8897
0.5964 0.7500 0.1103
0.9036 0.2500 0.6103
0.1604 0.2500 0.7529
0.2231 0.2500 0.4842
0.2769 0.7500 0.9842
0.3396 0.7500 0.2529
0.6604 0.2500 0.7471
0.7231 0.2500 0.0158
0.7769 0.7500 0.5158
0.8396 0.7500 0.2471

2.
GGA-PBE Dy3Ho2Sc, relaxed; formation energy from the elements = 135 meV per atom; DFT total energy = -56.968 eV for the cell shown; polymorph energy (0 for the lowest one) = 3.6 meV per atom; space-group type = Cmmm
1.0
5.7537 0.0000 0.0000
0.0000 11.0243 0.0000
0.0000 0.0000 5.7410
Dy Ho Sc
6 4 2
direct
0.0000 0.0000 0.0000
0.0000 0.3393 0.0000
0.0000 0.6607 0.0000
0.5000 0.1607 0.0000
0.5000 0.5000 0.0000
0.5000 0.8393 0.0000
0.0000 0.1625 0.5000
0.0000 0.8375 0.5000
0.5000 0.3375 0.5000
0.5000 0.6625 0.5000
0.0000 0.5000 0.5000
0.5000 0.0000 0.5000

3.
GGA-PBE Ca4Ni, relaxed; formation energy from the elements = -35 meV per atom; DFT total energy = -27.926 eV for the cell shown; polymorph energy (0 for the lowest one) = 8.9 meV per atom; space-group type = Ibam
1.0
-3.6164 7.2309 3.2113
3.6164 -7.2309 3.2113
3.6164 7.2309 -3.2113
Ca Ni
8 2
direct
0.0734 0.6946 0.7680
0.1650 0.1482 0.3132
0.3350 0.6482 0.9832
0.4266 0.1946 0.6212
0.5734 0.8054 0.3788
0.6650 0.3518 0.0168
0.8350 0.8518 0.6868
0.9266 0.3054 0.2320
0.2500 0.2500 0.0000
0.7500 0.7500 0.0000

4.
GGA-PBE KNa2Pt, relaxed; formation energy from the elements = 163 meV per atom; DFT total energy = -36.499 eV for the cell shown; space-group type = I-42d
1.0
4.8097 0.0000 0.0000
0.0000 4.8097 0.0000
0.0000 0.0000 20.7264
K Na Pt
4 8 4
direct
0.0000 0.0000 0.0000
0.0000 0.5000 0.2500
0.5000 0.0000 0.7500
0.5000 0.5000 0.5000
0.1835 0.2500 0.6250
0.2500 0.6835 0.8750
0.2500 0.8165 0.3750
0.3165 0.2500 0.1250
0.6835 0.7500 0.1250
0.7500 0.1835 0.3750
0.7500 0.3165 0.8750
0.8165 0.7500 0.6250
0.0000 0.0000 0.5000
0.0000 0.5000 0.7500
0.5000 0.0000 0.2500
0.5000 0.5000 0.0000

5.
GGA-PBE Ba2CaCd12In3, relaxed; formation energy from the elements = -81 meV per atom; DFT total energy = -26.495 eV for the cell shown; space-group type = R-3m
1.0
5.5015 3.1763 4.9371
-5.5015 3.1763 4.9371
0.0000 -6.3526 4.9371
Ba Ca Cd In
2 1 12 3
direct
0.2208 0.2208 0.2208
0.7792 0.7792 0.7792
0.5000 0.5000 0.5000
0.0771 0.0771 0.6430
0.0771 0.6430 0.0771
0.2163 0.7049 0.7049
0.2951 0.2951 0.7837
0.2951 0.7837 0.2951
0.3570 0.9229 0.9229
0.6430 0.0771 0.0771
0.7049 0.2163 0.7049
0.7049 0.7049 0.2163
0.7837 0.2951 0.2951
0.9229 0.3570 0.9229
0.9229 0.9229 0.3570
0.0000 0.5000 0.5000
0.5000 0.0000 0.5000
0.5000 0.5000 0.0000

6.
GGA-PBE Sr2ReTc, relaxed; formation energy from the elements = 1232 meV per atom; DFT total energy = -42.497 eV for the cell shown; polymorph energy (0 for the lowest one) = 920.3 meV per atom; space-group type = I4/mmm
1.0
4.0550 0.0000 0.0000
0.0000 4.0550 0.0000
0.0000 0.0000 10.4973
Sr Re Tc
4 2 2
direct
0.0000 0.5000 0.2500
0.0000 0.5000 0.7500
0.5000 0.0000 0.2500
0.5000 0.0000 0.7500
0.0000 0.0000 0.0000
0.5000 0.5000 0.5000
0.0000 0.0000 0.5000
0.5000 0.5000 0.0000

7.
GGA-PBE SrMgAlAu3, relaxed; formation energy from the elements = -458 meV per atom; DFT total energy = -39.196 eV for the cell shown; space-group type = Cmcm
1.0
3.5675 -6.3761 0.0000
3.5675 6.3761 0.0000
0.0000 0.0000 6.4127
Sr Mg Al Au
2 2 2 6
direct
0.2058 0.7942 0.7500
0.7942 0.2058 0.2500
0.4795 0.5205 0.7500
0.5205 0.4795 0.2500
0.1127 0.8873 0.2500
0.8873 0.1127 0.7500
0.2028 0.2028 0.0000
0.2028 0.2028 0.5000
0.3063 0.6937 0.2500
0.6937 0.3063 0.7500
0.7972 0.7972 0.0000
0.7972 0.7972 0.5000

8.
GGA-PBE CdGe, relaxed; formation energy from the elements = 278 meV per atom; DFT total energy = -29.854 eV for the cell shown; space-group type = Pmmn
1.0
3.7903 0.0000 0.0000
0.0000 12.9005 0.0000
0.0000 0.0000 6.5376
Cd Ge
6 6
direct
0.2500 0.0692 0.1382
0.2500 0.4308 0.1382
0.2500 0.7500 0.3597
0.7500 0.2500 0.6403
0.7500 0.5692 0.8618
0.7500 0.9308 0.8618
0.2500 0.2500 0.9402
0.2500 0.5613 0.5150
0.2500 0.9387 0.5150
0.7500 0.0613 0.4850
0.7500 0.4387 0.4850
0.7500 0.7500 0.0598

9.
GGA-PBE MoPRu, relaxed; formation energy from the elements = -503 meV per atom; DFT total energy = -162.153 eV for the cell shown; polymorph energy (0 for the lowest one) = 28.1 meV per atom; space-group type = P2_1/m
1.0
6.0646 0.0000 0.0000
0.0000 3.9092 0.0000
-0.1658 0.0000 10.4681
Mo P Ru
6 6 6
direct
0.0278 0.2500 0.2164
0.3507 0.7500 0.5811
0.4665 0.7500 0.8836
0.5335 0.2500 0.1164
0.6493 0.2500 0.4189
0.9722 0.7500 0.7836
0.2475 0.2500 0.4115
0.2469 0.7500 0.0793
0.2685 0.2500 0.7535
0.7315 0.7500 0.2465
0.7531 0.2500 0.9207
0.7525 0.7500 0.5885
0.0275 0.2500 0.5885
0.1402 0.2500 0.9570
0.3658 0.7500 0.2896
0.6342 0.2500 0.7104
0.8598 0.7500 0.0430
0.9725 0.7500 0.4115

10.
GGA-PBE PmEu2In, relaxed; formation energy from the elements = -158 meV per atom; DFT total energy = -28.670 eV for the cell shown; polymorph energy (0 for the lowest one) = 57.0 meV per atom; space-group type = P4/mmm
1.0
3.8994 0.0000 0.0000
0.0000 3.8994 0.0000
0.0000 0.0000 8.9733
Pm Eu In
1 2 1
direct
0.0000 0.0000 0.0000
0.5000 0.5000 0.2834
0.5000 0.5000 0.7166
0.0000 0.0000 0.5000

11.
GGA-PBE ScZn2PtAu, relaxed; formation energy from the elements = 236 meV per atom; DFT total energy = -17.017 eV for the cell shown; space-group type = P4/mmm
1.0
4.7089 0.0000 0.0000
0.0000 4.7089 0.0000
0.0000 0.0000 5.1749
Sc Zn Pt Au
1 2 1 1
direct
0.0000 0.0000 0.0000
0.0000 0.5000 0.5000
0.5000 0.0000 0.5000
0.5000 0.5000 0.0000
0.0000 0.0000 0.5000

12.
GGA-PBE CeY4Ho, relaxed; formation energy from the elements = 98 meV per atom; DFT total energy = -35.778 eV for the cell shown; space-group type = P6/mmm
1.0
5.6697 0.0000 0.0000
-2.8349 4.9101 0.0000
0.0000 0.0000 6.8652
Ce Y Ho
1 4 1
direct
0.0000 0.0000 0.0000
0.3333 0.6667 0.2534
0.3333 0.6667 0.7466
0.6667 0.3333 0.2534
0.6667 0.3333 0.7466
0.0000 0.0000 0.5000

13.
GGA-PBE NiGeHRh2, relaxed; DFT total energy = -29.784 eV for the cell shown; space-group type = P4/mmm
1.0
3.9423 0.0000 0.0000
0.0000 3.9423 0.0000
0.0000 0.0000 3.6133
Ni Ge H Rh
1 1 1 2
direct
0.0000 0.0000 0.0000
0.5000 0.5000 0.0000
0.0000 0.0000 0.5000
0.0000 0.5000 0.5000
0.5000 0.0000 0.5000

14.
GGA-PBE Pm4GaS2Br, relaxed; E_form (uncorrected) = -1.46 eV/atom; DFT total energy = -43.673 eV for the cell shown; space-group type = P2/m
1.0
7.2511 0.0000 0.0000
0.0000 4.0165 0.0000
-2.2653 0.0000 6.9877
Pm Ga S Br
4 1 2 1
direct
0.2232 0.0000 0.2234
0.2321 0.5000 0.7534
0.7679 0.5000 0.2466
0.7768 0.0000 0.7766
0.5000 0.0000 0.0000
0.0000 0.0000 0.5000
0.0000 0.5000 0.0000
0.5000 0.5000 0.5000

15.
GGA-PBE Ca6Tl5Zn, relaxed; formation energy from the elements = -404 meV per atom; DFT total energy = -29.961 eV for the cell shown; space-group type = Cmmm
1.0
2.7243 -8.1992 0.0000
2.7243 8.1992 0.0000
0.0000 0.0000 7.7219
Ca Tl Zn
6 5 1
direct
0.0000 0.0000 0.2440
0.0000 0.0000 0.7560
0.3365 0.6635 0.2472
0.3365 0.6635 0.7528
0.6635 0.3365 0.2472
0.6635 0.3365 0.7528
0.1672 0.8328 0.0000
0.1678 0.8322 0.5000
0.5000 0.5000 0.5000
0.8322 0.1678 0.5000
0.8328 0.1672 0.0000
0.5000 0.5000 0.0000

16.
GGA-PBE Pm5Tm6, relaxed; formation energy from the elements = 139 meV per atom; DFT total energy = -49.051 eV for the cell shown; polymorph energy (0 for the lowest one) = 23.5 meV per atom; space-group type = C2/m
1.0
4.4984 -6.5454 0.0000
4.4984 6.5454 0.0000
-1.9100 0.0000 6.0948
Pm Tm
5 6
direct
0.0000 0.0000 0.0000
0.1314 0.8686 0.5000
0.2613 0.7387 0.0000
0.7387 0.2613 0.0000
0.8686 0.1314 0.5000
0.1972 0.4523 0.3248
0.3394 0.3394 0.8053
0.4523 0.1972 0.3248
0.5477 0.8028 0.6752
0.6606 0.6606 0.1947
0.8028 0.5477 0.6752

17.
GGA-PBE TaP2SeS, relaxed; E_form (uncorrected) = 1.22 eV/atom; DFT total energy = -24.194 eV for the cell shown; polymorph energy (0 for the lowest one) = 816.0 meV per atom; space-group type = P4/mmm
1.0
4.6195 0.0000 0.0000
0.0000 4.6195 0.0000
0.0000 0.0000 4.5108
Ta P Se S
1 2 1 1
direct
0.0000 0.0000 0.0000
0.0000 0.5000 0.5000
0.5000 0.0000 0.5000
0.5000 0.5000 0.5000
0.5000 0.5000 0.0000

18.
GGA-PBE Cs3Np3SnTe8, relaxed; E_form (uncorrected) = -0.78 eV/atom; DFT total energy = -82.179 eV for the cell shown; space-group type = R-3m
1.0
4.5803 2.6444 8.9154
-4.5803 2.6444 8.9154
0.0000 -5.2888 8.9154
Cs Np Sn Te
3 3 1 8
direct
0.0000 0.5000 0.5000
0.5000 0.0000 0.5000
0.5000 0.5000 0.0000
0.0000 0.0000 0.5000
0.0000 0.5000 0.0000
0.5000 0.0000 0.0000
0.5000 0.5000 0.5000
0.2149 0.7355 0.7355
0.2295 0.2295 0.2295
0.2645 0.2645 0.7851
0.2645 0.7851 0.2645
0.7355 0.2149 0.7355
0.7355 0.7355 0.2149
0.7705 0.7705 0.7705
0.7851 0.2645 0.2645

19.
GGA-PBE TcBRh, relaxed; formation energy from the elements = -178 meV per atom; DFT total energy = -99.715 eV for the cell shown; polymorph energy (0 for the lowest one) = 0.0 meV per atom; space-group type = Pnma
1.0
5.6882 0.0000 0.0000
0.0000 3.6944 0.0000
0.0000 0.0000 6.5998
Tc B Rh
4 4 4
direct
0.0226 0.2500 0.1648
0.4774 0.7500 0.6648
0.5226 0.2500 0.3352
0.9774 0.7500 0.8352
0.2413 0.2500 0.8907
0.2587 0.7500 0.3907
0.7413 0.2500 0.6093
0.7587 0.7500 0.1093
0.1424 0.2500 0.5727
0.3576 0.7500 0.0727
0.6424 0.2500 0.9273
0.8576 0.7500 0.4273

20.
GGA-PBE ScPaAs2O8, relaxed; E_form (uncorrected) = -2.26 eV/atom; DFT total energy = -91.887 eV for the cell shown; space-group type = I-4m2
1.0
-3.4915 3.4915 3.3255
3.4915 -3.4915 3.3255
3.4915 3.4915 -3.3255
Sc Pa As O
1 1 2 8
direct
0.0000 0.0000 0.0000
0.2500 0.7500 0.5000
0.5000 0.5000 0.0000
0.7500 0.2500 0.5000
0.2791 0.0881 0.8090
0.2791 0.4701 0.1910
0.3923 0.0756 0.3167
0.5299 0.7209 0.8090
0.7589 0.0756 0.6833
0.9119 0.7209 0.1910
0.9244 0.2411 0.3167
0.9244 0.6077 0.6833

21.
GGA-PBE Ce2Y2Bi2C, relaxed; formation energy from the elements = -640 meV per atom; DFT total energy = -92.527 eV for the cell shown; space-group type = I4/mmm
1.0
4.8847 0.0000 0.0000
0.0000 4.8847 0.0000
0.0000 0.0000 16.5009
Ce Y Bi C
4 4 4 2
direct
0.0000 0.0000 0.1571
0.0000 0.0000 0.8429
0.5000 0.5000 0.3429
0.5000 0.5000 0.6571
0.0000 0.5000 0.0000
0.0000 0.5000 0.5000
0.5000 0.0000 0.0000
0.5000 0.0000 0.5000
0.0000 0.0000 0.3613
0.0000 0.0000 0.6387
0.5000 0.5000 0.1387
0.5000 0.5000 0.8613
0.0000 0.0000 0.0000
0.5000 0.5000 0.5000

22.
GGA-PBE Ge2Br3, relaxed; E_form (uncorrected) = -0.29 eV/atom; DFT total energy = -31.402 eV for the cell shown; space-group type = C2/m
1.0
9.2114 -1.9661 0.0000
9.2114 1.9661 0.0000
-3.2939 0.0000 9.0544
Ge Br
4 6
direct
0.0704 0.0704 0.1981
0.3682 0.3682 0.0185
0.6318 0.6318 0.9815
0.9296 0.9296 0.8019
0.0663 0.0663 0.7649
0.2260 0.2260 0.1580
0.3759 0.3759 0.6052
0.6241 0.6241 0.3948
0.7740 0.7740 0.8420
0.9337 0.9337 0.2351